# CaZn (GGA-PBEsol, relaxed)
data_CaZn
_cell_length_a 11.482
_cell_length_b 3.549
_cell_length_c 5.117
_cell_angle_alpha 90.00
_cell_angle_beta 115.46
_cell_angle_gamma 90.00
_space_group_name_H-M_alt 'C 1 2/m 1'
_space_group_IT_number 12
loop_
_space_group_symop_operation_xyz
'x,y,z'
'-x,-y,-z'
'-x,y,-z'
'x,-y,z'
'x+1/2,y+1/2,z'
'-x+1/2,-y+1/2,-z'
'-x+1/2,y+1/2,-z'
'x+1/2,-y+1/2,z'
loop_
_atom_site_label
_atom_site_fract_x
_atom_site_fract_y
_atom_site_fract_z
Ca1 0.100 0.000 0.347
Zn1 0.162 0.500 0.907
# Energy of formation from the pure elements in meV per atom: -163
# Raw total energy in eV per atom: -2.02
# Crystal system: monoclinic

=====

# CrCuNi (GGA-PBEsol, relaxed)
data_CrCuNi
_cell_length_a 2.4694
_cell_length_b 2.4694
_cell_length_c 6.2156
_cell_angle_alpha 90.00
_cell_angle_beta 90.00
_cell_angle_gamma 120.00
_space_group_name_H-M_alt 'P 3 m 1'
_space_group_IT_number 156
loop_
_space_group_symop_operation_xyz
'x,y,z'
'-y,x-y,z'
'-x+y,-x,z'
'-y,-x,z'
'-x+y,y,z'
'x,x-y,z'
loop_
_atom_site_label
_atom_site_fract_x
_atom_site_fract_y
_atom_site_fract_z
Cr1 0.0000 0.0000 0.0000
Cu1 0.3333 0.6667 0.6529
Ni1 0.6667 0.3333 0.3170
# Energy of formation from the pure elements in meV per atom: 162
# Raw total energy in eV per atom: -6.75
# Crystal system: trigonal

=====

# Mn3Fe4 (GGA-PBEsol, relaxed)
data_Mn3Fe4
_cell_length_a 2.761
_cell_length_b 2.761
_cell_length_c 19.585
_cell_angle_alpha 90.00
_cell_angle_beta 90.00
_cell_angle_gamma 90.00
_space_group_name_H-M_alt 'I 4/m m m'
_space_group_IT_number 139
_space_group_name_Hall '-I 4 2'
loop_
_atom_site_label
_atom_site_fract_x
_atom_site_fract_y
_atom_site_fract_z
Mn1 0.000 0.000 0.000
Mn2 0.000 0.000 0.284
Fe1 0.000 0.000 0.142
Fe2 0.000 0.000 0.429
# Energy of formation from the pure elements in meV per atom: 116
# Raw total energy in eV per atom: -9.19
# Crystal system: tetragonal

=====

# ErPd2Pb (GGA-PBEsol, relaxed)
data_ErPd2Pb
_cell_length_a 6.728
_cell_length_b 6.728
_cell_length_c 6.728
_cell_angle_alpha 90.00
_cell_angle_beta 90.00
_cell_angle_gamma 90.00
_space_group_name_H-M_alt 'F m -3 m'
_space_group_IT_number 225
_space_group_name_Hall '-F 4 2 3'
loop_
_atom_site_label
_atom_site_fract_x
_atom_site_fract_y
_atom_site_fract_z
Er1 0.000 0.000 0.000
Pd1 0.250 0.250 0.250
Pb1 0.000 0.000 0.500
# Energy of formation from the pure elements in meV per atom: -718
# Raw total energy in eV per atom: -5.93
# Crystal system: cubic

=====

# RePNO2 (GGA-PBEsol, relaxed)
data_RePNO2
_cell_length_a 3.077
_cell_length_b 3.077
_cell_length_c 6.870
_cell_angle_alpha 90.00
_cell_angle_beta 90.00
_cell_angle_gamma 90.00
_space_group_name_H-M_alt 'P 4/m m m'
_space_group_IT_number 123
_space_group_name_Hall '-P 4 2'
loop_
_atom_site_label
_atom_site_fract_x
_atom_site_fract_y
_atom_site_fract_z
Re1 0.000 0.000 0.000
P1 0.500 0.500 0.500
N1 0.500 0.500 0.000
O1 0.000 0.500 0.500
# Raw total energy in eV per atom: -7.34
# Crystal system: tetragonal
# Uncorrected formation energy in eV per atom: 0.286

=====

# ZrScRh2 (GGA-PBEsol, relaxed)
data_ZrScRh2
_cell_length_a 3.588
_cell_length_b 3.988
_cell_length_c 9.378
_cell_angle_alpha 90.00
_cell_angle_beta 90.00
_cell_angle_gamma 90.00
_space_group_name_H-M_alt 'I m m 2'
_space_group_IT_number 44
loop_
_space_group_symop_operation_xyz
'x,y,z'
'-x,-y,z'
'-x,y,z'
'x,-y,z'
'x+1/2,y+1/2,z+1/2'
'-x+1/2,-y+1/2,z+1/2'
'-x+1/2,y+1/2,z+1/2'
'x+1/2,-y+1/2,z+1/2'
loop_
_atom_site_label
_atom_site_fract_x
_atom_site_fract_y
_atom_site_fract_z
Zr1 0.000 0.000 0.000
Sc1 0.000 0.500 0.244
Rh1 0.000 0.000 0.497
Rh2 0.000 0.500 0.742
# Energy of formation from the pure elements in meV per atom: -704
# Raw total energy in eV per atom: -8.70
# Crystal system: orthorhombic

=====

# CsZr3Cu (GGA-PBEsol, relaxed)
data_CsZr3Cu
_cell_length_a 5.154
_cell_length_b 5.154
_cell_length_c 5.154
_cell_angle_alpha 90.00
_cell_angle_beta 90.00
_cell_angle_gamma 90.00
_space_group_name_H-M_alt 'P m -3 m'
_space_group_IT_number 221
_space_group_name_Hall '-P 4 2 3'
loop_
_atom_site_label
_atom_site_fract_x
_atom_site_fract_y
_atom_site_fract_z
Cs1 0.000 0.000 0.000
Zr1 0.000 0.000 0.500
Cu1 0.500 0.500 0.500
# Energy of formation from the pure elements in meV per atom: 2184
# Raw total energy in eV per atom: -4.33
# Crystal system: cubic

=====

# TcSbPb2 (GGA-PBEsol, relaxed)
data_TcSbPb2
_cell_length_a 4.926
_cell_length_b 4.926
_cell_length_c 3.868
_cell_angle_alpha 90.00
_cell_angle_beta 90.00
_cell_angle_gamma 90.00
_space_group_name_H-M_alt 'P 4/m m m'
_space_group_IT_number 123
_space_group_name_Hall '-P 4 2'
loop_
_atom_site_label
_atom_site_fract_x
_atom_site_fract_y
_atom_site_fract_z
Tc1 0.000 0.000 0.000
Sb1 0.500 0.500 0.000
Pb1 0.000 0.500 0.500
# Raw total energy in eV per atom: -5.20
# Crystal system: tetragonal
# Uncorrected formation energy in eV per atom: 0.756

=====

# KMo2Br (GGA-PBEsol, relaxed)
data_KMo2Br
_cell_length_a 2.818
_cell_length_b 4.862
_cell_length_c 11.530
_cell_angle_alpha 90.00
_cell_angle_beta 90.00
_cell_angle_gamma 90.00
_space_group_name_H-M_alt 'I m m m'
_space_group_IT_number 71
_space_group_name_Hall '-I 2 2'
loop_
_atom_site_label
_atom_site_fract_x
_atom_site_fract_y
_atom_site_fract_z
K1 0.000 0.000 0.000
Mo1 0.000 0.500 0.207
Br1 0.000 0.000 0.500
# Raw total energy in eV per atom: -5.73
# Crystal system: orthorhombic
# Energy above the most stable polymorph in this dataset in kJ per mole of atoms: 49.5
# Uncorrected formation energy in eV per atom: 0.901

=====

# ReNiW2 (GGA-PBEsol, relaxed)
data_ReNiW2
_cell_length_a 3.861
_cell_length_b 3.861
_cell_length_c 3.784
_cell_angle_alpha 90.00
_cell_angle_beta 90.00
_cell_angle_gamma 90.00
_space_group_name_H-M_alt 'P 4/m m m'
_space_group_IT_number 123
_space_group_name_Hall '-P 4 2'
loop_
_atom_site_label
_atom_site_fract_x
_atom_site_fract_y
_atom_site_fract_z
Re1 0.000 0.000 0.000
Ni1 0.500 0.500 0.000
W1 0.000 0.500 0.500
# Energy of formation from the pure elements in meV per atom: 58
# Raw total energy in eV per atom: -11.72
# Crystal system: tetragonal
# Energy above the most stable polymorph in this dataset in kJ per mole of atoms: 0.0

=====

# HfCoGe (GGA-PBEsol, relaxed)
data_HfCoGe
_cell_length_a 6.403
_cell_length_b 3.870
_cell_length_c 7.099
_cell_angle_alpha 90.00
_cell_angle_beta 90.00
_cell_angle_gamma 90.00
_space_group_name_H-M_alt 'P n m a'
_space_group_IT_number 62
loop_
_space_group_symop_operation_xyz
'x,y,z'
'-x,-y,-z'
'-x+1/2,-y,z+1/2'
'x+1/2,y,-z+1/2'
'x+1/2,-y+1/2,-z+1/2'
'-x+1/2,y+1/2,z+1/2'
'-x,y+1/2,-z'
'x,-y+1/2,z'
loop_
_atom_site_label
_atom_site_fract_x
_atom_site_fract_y
_atom_site_fract_z
Hf1 0.008 0.250 0.200
Co1 0.144 0.250 0.570
Ge1 0.227 0.750 0.394
# Energy of formation from the pure elements in meV per atom: -747
# Raw total energy in eV per atom: -8.47
# Crystal system: orthorhombic

=====

# SrHfIn2 (GGA-PBEsol, relaxed)
data_SrHfIn2
_cell_length_a 7.381
_cell_length_b 7.381
_cell_length_c 7.381
_cell_angle_alpha 90.00
_cell_angle_beta 90.00
_cell_angle_gamma 90.00
_space_group_name_H-M_alt 'F m -3 m'
_space_group_IT_number 225
_space_group_name_Hall '-F 4 2 3'
loop_
_atom_site_label
_atom_site_fract_x
_atom_site_fract_y
_atom_site_fract_z
Sr1 0.000 0.000 0.000
Hf1 0.000 0.000 0.500
In1 0.250 0.250 0.250
# Energy of formation from the pure elements in meV per atom: -45
# Raw total energy in eV per atom: -4.62
# Crystal system: cubic

=====

| no. | total moment (μB/atom) |
| --- | --- |
| 1 | 0.00 |
| 2 | 0.00 |
| 3 | 1.58 |
| 4 | 0.00 |
| 5 | 0.15 |
| 6 | 0.00 |
| 7 | 0.00 |
| 8 | 0.50 |
| 9 | 0.00 |
| 10 | 0.00 |
| 11 | 0.00 |
| 12 | 0.00 |